First-principles (PBE) data for Sr2ZrAu after structural relaxation, as listed in Alexandria.

Output
Energy above the most stable polymorph in this dataset: 0.477 eV/f.u.
Magnetization: 0.00 μB per atom
DFT total energy: -15.15 eV per cell
Symmetry: P4/mmm (123)
Formation energy from the elements: 0.0092 eV per atom
Volume: 30.8 Å³ per atom
N(E_F): 1.200 states/eV/atom

Cell and atoms, written as CIF:
```
data_Sr2ZrAu
_chemical_formula_sum 'Sr2 Zr1 Au1'
_symmetry_space_group_name_H-M 'P 1'
_symmetry_Int_Tables_number 1
_cell_length_a 3.575
_cell_length_b 3.575
_cell_length_c 9.637
_cell_angle_alpha 90.00
_cell_angle_beta 90.00
_cell_angle_gamma 90.00
loop_
_symmetry_equiv_pos_as_xyz
'x,y,z'
loop_
_atom_site_label
_atom_site_type_symbol
_atom_site_fract_x
_atom_site_fract_y
_atom_site_fract_z
_atom_site_occupancy
Sr1 Sr 0.000 0.000 0.219 1
Sr2 Sr 0.000 0.000 0.781 1
Zr1 Zr 0.500 0.500 0.500 1
Au1 Au 0.500 0.500 0.000 1
```